Run P
This record from the Alexandria database describes a geometry-optimized VTe2C2 structure. The functional is PBE.

Results
Size of the total moment: 0.34 μB per atom
Fermi-level density of states: 0.492 states/eV/atom

Lattice parameters (Å, degrees): 5.4691 5.4691 5.7186 90.00 90.00 90.00
Last column: nearest neighbours and their distance in Å.
Atoms (fractional coordinates):
V 0.0000 0.0000 0.0000  2 C 2.21
V 0.5000 0.5000 0.5000  2 C 2.21
Te 0.0000 0.5000 0.2500  4 C 2.84, 2 Te 2.86, 4 V 3.09
Te 0.0000 0.5000 0.7500  4 C 2.84, 2 Te 2.86, 4 V 3.09
Te 0.5000 0.0000 0.2500  4 C 2.84, 2 Te 2.86, 4 V 3.09
Te 0.5000 0.0000 0.7500  4 C 2.84, 2 Te 2.86, 4 V 3.09
C 0.0000 0.0000 0.3860  1 C 1.30
C 0.0000 0.0000 0.6140  1 C 1.30
C 0.5000 0.5000 0.1140  1 C 1.30
C 0.5000 0.5000 0.8860  1 C 1.30

---

Run Q
This record from the Alexandria database describes a geometry-optimized VTe2C2 structure. The functional is PBE.

Results
Size of the total moment: 0.29 μB per atom
Fermi-level density of states: 0.617 states/eV/atom

Lattice parameters (Å, degrees): 6.7136 6.7136 3.4886 90.00 90.00 90.00
Last column: nearest neighbours and their distance in Å.
Atoms (fractional coordinates):
V 0.0000 0.0000 0.0000  4 C 2.43
V 0.5000 0.5000 0.0000  4 C 2.43
Te 0.1690 0.3310 0.5000  2 C 2.17
Te 0.3310 0.8310 0.5000  2 C 2.17
Te 0.6690 0.1690 0.5000  2 C 2.17
Te 0.8310 0.6690 0.5000  2 C 2.17
C 0.1950 0.6950 0.0000  2 Te 2.17, 2 V 2.43
C 0.3050 0.1950 0.0000  2 Te 2.17, 2 V 2.43
C 0.6950 0.8050 0.0000  2 Te 2.17, 2 V 2.43
C 0.8050 0.3050 0.0000  2 Te 2.17, 2 V 2.43

---

Most stable: run P (next structure +395 meV per atom)

---

Run P
This record from the Alexandria database describes a geometry-optimized VTeC3 structure. The functional is PBE.

Results
Size of the total moment: 0.44 μB per atom
Fermi-level density of states: 1.534 states/eV/atom

Lattice parameters (Å, degrees): 4.1245 4.1245 4.1245 90.00 90.00 90.00
Last column: nearest neighbours and their distance in Å.
Atoms (fractional coordinates):
V 0.0000 0.0000 0.0000  12 C 2.92
Te 0.5000 0.5000 0.5000  6 C 2.06
C 0.0000 0.5000 0.5000  2 Te 2.06
C 0.5000 0.0000 0.5000  2 Te 2.06
C 0.5000 0.5000 0.0000  2 Te 2.06

---

Run Q
This record from the Alexandria database describes a geometry-optimized VTeC3 structure. The functional is PBE.

Results
Size of the total moment: 0.00 μB per atom
Fermi-level density of states: 0.625 states/eV/atom

Lattice parameters (Å, degrees): 4.0181 4.0181 4.0181 90.00 90.00 90.00
Last column: nearest neighbours and their distance in Å.
Atoms (fractional coordinates):
V 0.0000 0.0000 0.0000  6 C 2.01
Te 0.5000 0.5000 0.5000  12 C 2.84
C 0.0000 0.0000 0.5000  2 V 2.01
C 0.0000 0.5000 0.0000  2 V 2.01
C 0.5000 0.0000 0.0000  2 V 2.01

---

Most stable: run Q (next structure +957 meV per atom)

---

Run P
This record from the Alexandria database describes a geometry-optimized Y3TeC structure. The functional is PBE.

Results
Size of the total moment: 0.00 μB per atom
Fermi-level density of states: 0.803 states/eV/atom

Lattice parameters (Å, degrees): 4.9079 4.9079 4.9079 90.00 90.00 90.00
Last column: nearest neighbours and their distance in Å.
Atoms (fractional coordinates):
Y 0.0000 0.0000 0.5000  2 C 2.45
Y 0.0000 0.5000 0.0000  2 C 2.45
Y 0.5000 0.0000 0.0000  2 C 2.45
Te 0.5000 0.5000 0.5000  12 Y 3.47
C 0.0000 0.0000 0.0000  6 Y 2.45

---

Run Q
This record from the Alexandria database describes a geometry-optimized Y3TeC structure. The functional is PBE.

Results
Size of the total moment: 0.00 μB per atom
Fermi-level density of states: 0.761 states/eV/atom

Lattice parameters (Å, degrees): 9.8576 9.8576 7.3831 90.00 90.00 157.85
Last column: nearest neighbours and their distance in Å.
Atoms (fractional coordinates):
Y 0.0765 0.9235 0.5000  1 C 2.35
Y 0.2654 0.7346 0.1055  2 C 2.61
Y 0.4008 0.5992 0.3830  2 C 2.45
Y 0.5992 0.4008 0.8830  2 C 2.45
Y 0.7346 0.2654 0.6055  2 C 2.61
Y 0.9235 0.0765 0.0000  1 C 2.35
Te 0.3457 0.6543 0.7550  6 Y 2.95-3.07
Te 0.6543 0.3457 0.2550  6 Y 2.95-3.07
C 0.1570 0.8430 0.7380  5 Y 2.35-2.61
C 0.8430 0.1570 0.2380  5 Y 2.35-2.61

---

Run R
This record from the Alexandria database describes a geometry-optimized Y3TeC structure. The functional is PBE.

Results
Size of the total moment: 0.09 μB per atom
Fermi-level density of states: 0.772 states/eV/atom

Lattice parameters (Å, degrees): 9.2490 9.2490 6.3133 101.14 101.14 93.59
Last column: nearest neighbours and their distance in Å.
Atoms (fractional coordinates):
Y 0.0795 0.7647 0.9622  2 C 2.47-2.53
Y 0.1521 0.5603 0.4135  2 C 2.34-2.38
Y 0.2353 0.9205 0.5378  2 C 2.47-2.53
Y 0.3028 0.5027 0.9426  2 C 2.51-2.54
Y 0.4397 0.8479 0.0865  2 C 2.34-2.38
Y 0.4973 0.6972 0.5574  2 C 2.51-2.54
Y 0.5027 0.3028 0.4426  2 C 2.51-2.54
Y 0.5603 0.1521 0.9135  2 C 2.34-2.38
Y 0.6972 0.4973 0.0574  2 C 2.51-2.54
Y 0.7647 0.0795 0.4622  2 C 2.47-2.53
Y 0.8479 0.4397 0.5865  2 C 2.34-2.38
Y 0.9205 0.2353 0.0378  2 C 2.47-2.53
Te 0.0988 0.2419 0.5503  6 Y 3.06-3.32
Te 0.2419 0.0988 0.0503  6 Y 3.06-3.32
Te 0.7581 0.9012 0.9497  6 Y 3.06-3.32
Te 0.9012 0.7581 0.4497  6 Y 3.06-3.32
C 0.2824 0.7176 0.2500  6 Y 2.34-2.54
C 0.2836 0.7164 0.7500  6 Y 2.38-2.53
C 0.7164 0.2836 0.2500  6 Y 2.38-2.53
C 0.7176 0.2824 0.7500  6 Y 2.34-2.54

---

Most stable: run R (next structure +55 meV per atom)

---

Run P
This record from the Alexandria database describes a geometry-optimized Y4TeC2 structure. The functional is PBE.

Results
Size of the total moment: 0.08 μB per atom
Fermi-level density of states: 0.469 states/eV/atom

Lattice parameters (Å, degrees): 6.4867 6.4867 12.8491 90.00 90.00 145.76
Last column: nearest neighbours and their distance in Å.
Atoms (fractional coordinates):
Y 0.0000 0.0000 0.0000  4 C 2.66
Y 0.0000 0.0000 0.5000  4 C 2.66
Y 0.2578 0.7422 0.6023  3 C 2.47-2.50
Y 0.2578 0.7422 0.8977  3 C 2.47-2.50
Y 0.4172 0.5828 0.2500  2 C 2.53
Y 0.5828 0.4172 0.7500  2 C 2.53
Y 0.7422 0.2578 0.1023  3 C 2.47-2.50
Y 0.7422 0.2578 0.3977  3 C 2.47-2.50
Te 0.1092 0.8908 0.2500  6 Y 3.05-3.16
Te 0.8908 0.1092 0.7500  6 Y 3.05-3.16
C 0.3645 0.6355 0.0598  6 Y 2.47-2.66
C 0.3645 0.6355 0.4402  6 Y 2.47-2.66
C 0.6355 0.3645 0.5598  6 Y 2.47-2.66
C 0.6355 0.3645 0.9402  6 Y 2.47-2.66

---

Run Q
This record from the Alexandria database describes a geometry-optimized Y4TeC2 structure. The functional is PBE.

Results
Size of the total moment: 0.00 μB per atom
Fermi-level density of states: 0.541 states/eV/atom

Lattice parameters (Å, degrees): 13.5236 13.5236 13.5236 15.92 15.92 15.92
Last column: nearest neighbours and their distance in Å.
Atoms (fractional coordinates):
Y 0.1213 0.1213 0.1213  3 C 2.51
Y 0.2782 0.2782 0.2782  3 C 2.57
Y 0.7218 0.7218 0.7218  3 C 2.57
Y 0.8787 0.8787 0.8787  3 C 2.51
Te 0.0000 0.0000 0.0000  6 Y 3.09
C 0.4231 0.4231 0.4231  6 Y 2.51-2.57
C 0.5769 0.5769 0.5769  6 Y 2.51-2.57

---

Most stable: run P (next structure +30 meV per atom)

---

Run P
This record from the Alexandria database describes a geometry-optimized Y2TeC2 structure. The functional is PBE.

Results
Size of the total moment: 0.00 μB per atom
Fermi-level density of states: 0.220 states/eV/atom

Lattice parameters (Å, degrees): 6.9681 6.9681 3.5515 90.00 90.00 90.00
Last column: nearest neighbours and their distance in Å.
Atoms (fractional coordinates):
Y 0.1556 0.3444 0.0000  2 C 2.48
Y 0.3444 0.8444 0.0000  2 C 2.48
Y 0.6556 0.1556 0.0000  2 C 2.48
Y 0.8444 0.6556 0.0000  2 C 2.48
Te 0.0000 0.0000 0.5000  4 C 2.59
Te 0.5000 0.5000 0.5000  4 C 2.59
C 0.1684 0.6684 0.5000  2 Y 2.48, 2 Te 2.59
C 0.3316 0.1684 0.5000  2 Y 2.48, 2 Te 2.59
C 0.6684 0.8316 0.5000  2 Y 2.48, 2 Te 2.59
C 0.8316 0.3316 0.5000  2 Y 2.48, 2 Te 2.59

---

Run Q
This record from the Alexandria database describes a geometry-optimized Y2TeC2 structure. The functional is PBE.

Results
Size of the total moment: 0.00 μB per atom
Fermi-level density of states: 0.515 states/eV/atom

Lattice parameters (Å, degrees): 4.8881 4.8881 8.0348 90.00 90.00 90.00
Last column: nearest neighbours and their distance in Å.
Atoms (fractional coordinates):
Y 0.0000 0.5000 0.2500  4 C 2.80
Y 0.0000 0.5000 0.7500  4 C 2.80
Y 0.5000 0.0000 0.2500  4 C 2.80
Y 0.5000 0.0000 0.7500  4 C 2.80
Te 0.0000 0.0000 0.0000  8 Y 3.16, 10 C 3.37-3.52
Te 0.5000 0.5000 0.5000  8 Y 3.16, 10 C 3.37-3.52
C 0.0000 0.0000 0.4188  1 C 1.30
C 0.0000 0.0000 0.5812  1 C 1.30
C 0.5000 0.5000 0.0812  1 C 1.30
C 0.5000 0.5000 0.9188  1 C 1.30

---

Run R
This record from the Alexandria database describes a geometry-optimized Y2TeC2 structure. The functional is PBE.

Results
Size of the total moment: 0.00 μB per atom
Fermi-level density of states: 0.199 states/eV/atom

Lattice parameters (Å, degrees): 7.3857 7.3857 7.0560 101.24 101.24 32.68
Last column: nearest neighbours and their distance in Å.
Atoms (fractional coordinates):
Y 0.0266 0.6676 0.8609  3 C 2.34-2.60
Y 0.3324 0.9734 0.6391  3 C 2.34-2.60
Y 0.6676 0.0266 0.3609  3 C 2.34-2.60
Y 0.9734 0.3324 0.1391  3 C 2.34-2.60
Te 0.2962 0.7038 0.2500  6 Y 3.15-3.28
Te 0.7038 0.2962 0.7500  6 Y 3.15-3.28
C 0.1432 0.3967 0.4633  1 C 1.33
C 0.3967 0.1432 0.9633  1 C 1.33
C 0.6033 0.8568 0.0367  1 C 1.33
C 0.8568 0.6033 0.5367  1 C 1.33

---

Most stable: run R (next structure +496 meV per atom)

---

Run P
This record from the Alexandria database describes a geometry-optimized YTe3C structure. The functional is PBE.

Results
Size of the total moment: 0.00 μB per atom
Fermi-level density of states: 0.352 states/eV/atom

Lattice parameters (Å, degrees): 4.8735 4.8735 4.8735 90.00 90.00 90.00
Last column: nearest neighbours and their distance in Å.
Atoms (fractional coordinates):
Y 0.0000 0.0000 0.0000  12 Te 3.45
Te 0.0000 0.5000 0.5000  2 C 2.44
Te 0.5000 0.0000 0.5000  2 C 2.44
Te 0.5000 0.5000 0.0000  2 C 2.44
C 0.5000 0.5000 0.5000  6 Te 2.44

---

Run Q
This record from the Alexandria database describes a geometry-optimized YTe3C structure. The functional is PBE.

Results
Size of the total moment: 0.11 μB per atom
Fermi-level density of states: 1.566 states/eV/atom

Lattice parameters (Å, degrees): 5.8623 5.8623 5.8623 90.00 90.00 90.00
Last column: nearest neighbours and their distance in Å.
Atoms (fractional coordinates):
Y 0.0000 0.0000 0.0000  6 Te 2.93
Te 0.0000 0.0000 0.5000  2 Y 2.93
Te 0.0000 0.5000 0.0000  2 Y 2.93
Te 0.5000 0.0000 0.0000  2 Y 2.93
C 0.5000 0.5000 0.5000  12 Te 4.15

---

Most stable: run P (next structure +976 meV per atom)